(1)
CrW at its PBEsol-relaxed geometry. Source: the Alexandria database, functional meta-GGA SCAN.

Calculated values
As for the crystal system: tetragonal. The calculation puts the density of states at the Fermi level at 0.542 states/eV/atom. Its formation energy is 83.6 meV/atom.

Cell lengths 3.0030, 3.0030, 6.0048 Å; angles 90.00, 90.00, 90.00 degrees
Space group P4/nmm (No. 129, origin choice 2)
Symmetry-distinct sites (fractional):
1 Cr 0.2500 0.2500 0.1168 x2
2 W 0.2500 0.2500 0.6397 x2



(2)
SrZrOF2 at its PBEsol-relaxed geometry. Source: the Alexandria database, functional meta-GGA SCAN.

Calculated values
As for the crystal system: tetragonal. The formation energy (no corrections) is -2.853 eV per atom. The energy relative to the lowest polymorph listed for this composition is 0.0000 eV/atom. The calculation puts the density of states at the Fermi level at 0.351 states/eV/atom.

Cell lengths 4.4408, 4.4408, 4.1405 Å; angles 90.00, 90.00, 90.00 degrees
Space group P4/mmm (No. 123)
Symmetry-distinct sites (fractional):
1 Sr 0.0000 0.0000 0.0000 x1
2 Zr 0.5000 0.5000 0.5000 x1
3 O 0.5000 0.5000 0.0000 x1
4 F 0.0000 0.5000 0.5000 x2